# 1
Below is a geometry-optimized CsNb2Au structure, with properties calculated at the PBE level.

```
CsNb2Au
1.0
0.000 3.443 3.443
3.443 0.000 3.443
3.443 3.443 0.000
Cs Nb Au
1 2 1
direct
0.000 0.000 0.000 Cs
0.250 0.250 0.250 Nb
0.750 0.750 0.750 Nb
0.500 0.500 0.500 Au
```

Results
crystal system = cubic
E_form = 5.1 eV per formula unit
M_tot = 0.00 μB per formula unit
D(E_F) = 1.57 states/eV/cell

***

# 2
Below is a geometry-optimized CsNbPtAu2 structure, with properties calculated at the PBE level.

```
CsNbPtAu2
1.0
-5.049 -1.059 1.914
-1.104 -3.063 -4.605
1.905 -4.497 2.535
Cs Nb Au Pt
1 1 2 1
direct
0.000 0.000 0.000 Cs
0.000 0.500 0.000 Nb
0.000 0.000 0.500 Au
0.500 0.000 0.000 Au
0.500 0.500 0.500 Pt
```

Results
crystal system = tetragonal
E_form = 12.3 eV per formula unit
M_tot = 3.57 μB per formula unit
D(E_F) = 5.19 states/eV/cell

***

# 3
Below is a geometry-optimized CsNb2RhAu structure, with properties calculated at the PBE level.

```
CsNb2RhAu
1.0
-3.157 -2.612 -2.645
-0.805 -4.090 5.000
-3.668 2.752 1.661
Cs Rh Nb Au
1 1 2 1
direct
0.000 0.500 0.000 Cs
0.000 0.000 0.000 Rh
0.000 0.000 0.500 Nb
0.500 0.000 0.000 Nb
0.500 0.500 0.500 Au
```

Results
crystal system = tetragonal
E_form = 6.4 eV per formula unit
M_tot = 2.43 μB per formula unit
D(E_F) = 5.45 states/eV/cell

***

# 4
Below is a geometry-optimized CsNb2RuAu structure, with properties calculated at the PBE level.

```
CsNb2RuAu
1.0
4.826 0.000 0.000
0.000 6.515 0.000
0.000 0.000 4.826
Cs Ru Nb Au
1 1 2 1
direct
0.000 0.500 0.000 Cs
0.000 0.000 0.000 Ru
0.000 0.000 0.500 Nb
0.500 0.000 0.000 Nb
0.500 0.500 0.500 Au
```

Results
crystal system = tetragonal
E_form = 6.7 eV per formula unit
M_tot = 1.66 μB per formula unit
D(E_F) = 6.16 states/eV/cell

***

# 5
Below is a geometry-optimized Cs2ScNbAu structure, with properties calculated at the PBE level.

```
Cs2ScNbAu
1.0
6.730 0.000 0.000
0.000 5.010 0.000
0.000 0.000 6.730
Cs Sc Nb Au
2 1 1 1
direct
0.000 0.000 0.500 Cs
0.500 0.000 0.000 Cs
0.000 0.500 0.000 Sc
0.000 0.000 0.000 Nb
0.500 0.500 0.500 Au
```

Results
crystal system = tetragonal
E_form = 5.5 eV per formula unit
M_tot = 2.11 μB per formula unit
D(E_F) = 3.19 states/eV/cell

***

# 6
Below is a geometry-optimized Cs2NbAuSe4 structure, with properties calculated at the PBE level.

```
Cs2NbAuSe4
1.0
6.025 0.000 0.000
3.013 7.521 0.000
3.013 0.000 12.804
Cs Nb Au Se
4 2 2 8
direct
0.178 0.000 0.643 Cs
0.822 0.000 0.357 Cs
0.572 0.500 0.857 Cs
0.928 0.500 0.143 Cs
0.250 0.500 0.500 Nb
0.500 0.000 0.000 Nb
0.750 0.500 0.500 Au
0.000 0.000 0.000 Au
0.317 0.806 0.112 Se
0.235 0.194 0.888 Se
0.877 0.806 0.888 Se
0.571 0.194 0.112 Se
0.433 0.694 0.388 Se
0.515 0.306 0.612 Se
0.873 0.694 0.612 Se
0.179 0.306 0.388 Se
```

Results
calculated total energy = -4.57 eV per atom
crystal system = orthorhombic
M_tot = 0.00 μB per formula unit

***

# 7
Below is a geometry-optimized CsNbSn2Au structure, with properties calculated at the PBE level.

```
CsNbSn2Au
1.0
-4.932 0.780 -2.203
0.925 -4.130 -3.532
-2.151 -3.529 3.564
Cs Nb Au Sn
1 1 1 2
direct
0.500 0.500 0.500 Cs
0.000 0.000 0.000 Nb
0.000 0.500 0.000 Au
0.000 0.000 0.500 Sn
0.500 0.000 0.000 Sn
```

Results
crystal system = tetragonal
E_form = 0.9 eV per formula unit
M_tot = 0.55 μB per formula unit
D(E_F) = 4.21 states/eV/cell

***

# 8
Below is a geometry-optimized CsYNbAu2 structure, with properties calculated at the PBE level.

```
CsYNbAu2
1.0
-2.824 -0.486 -4.923
-2.230 -4.781 1.751
-4.387 2.864 2.234
Cs Y Nb Au
1 1 1 2
direct
0.500 0.500 0.500 Cs
0.000 0.000 0.000 Y
0.000 0.500 0.000 Nb
0.000 0.000 0.500 Au
0.500 0.000 0.000 Au
```

Results
crystal system = tetragonal
E_form = 3.9 eV per formula unit
M_tot = 3.62 μB per formula unit
D(E_F) = 5.83 states/eV/cell